Record 1
# NpInGe2 | Alexandria | PBE | relaxed
data_NpInGe2
_space_group_name_H-M_alt 'R -3 m'
_space_group_IT_number 166
_space_group_name_Hall '-R 3 2"'
_cell_length_a 4.6286
_cell_length_b 4.6286
_cell_length_c 22.0273
_cell_angle_alpha 90.00
_cell_angle_beta 90.00
_cell_angle_gamma 120.00
loop_
_atom_site_label
_atom_site_type_symbol
_atom_site_fract_x
_atom_site_fract_y
_atom_site_fract_z
Np1 Np 0.0000 0.0000 0.0000
In1 In 0.0000 0.0000 0.5000
Ge1 Ge 0.0000 0.0000 0.3813
# energy of formation	2.31	eV per formula unit
# energy relative to the lowest polymorph listed for this composition	2.90	eV/f.u.

---

Record 2
# CrCo2Au | Alexandria | PBE | relaxed
data_CrCo2Au
_space_group_name_H-M_alt 'C 1 m 1'
_space_group_IT_number 8
_cell_length_a 8.648
_cell_length_b 2.720
_cell_length_c 4.556
_cell_angle_alpha 90.00
_cell_angle_beta 101.29
_cell_angle_gamma 90.00
loop_
_space_group_symop_operation_xyz
'x,y,z'
'x,-y,z'
'x+1/2,y+1/2,z'
'x+1/2,-y+1/2,z'
loop_
_atom_site_label
_atom_site_type_symbol
_atom_site_fract_x
_atom_site_fract_y
_atom_site_fract_z
Cr1 Cr 0.000 0.000 0.000
Co1 Co 0.243 0.500 0.213
Co2 Co 0.483 0.000 0.433
Au1 Au 0.240 0.000 0.710
# energy of formation	1.19	eV per formula unit
# energy relative to the lowest polymorph listed for this composition	0.28	eV/f.u.

---

Record 3
# Al2TcHPt | Alexandria | PBE | relaxed
data_Al2TcHPt
_space_group_name_H-M_alt 'P 4/m m m'
_space_group_IT_number 123
_space_group_name_Hall '-P 4 2'
_cell_length_a 4.224
_cell_length_b 4.224
_cell_length_c 3.361
_cell_angle_alpha 90.00
_cell_angle_beta 90.00
_cell_angle_gamma 90.00
loop_
_atom_site_label
_atom_site_type_symbol
_atom_site_fract_x
_atom_site_fract_y
_atom_site_fract_z
Al1 Al 0.000 0.500 0.000
Tc1 Tc 0.000 0.000 0.500
H1 H 0.000 0.000 0.000
Pt1 Pt 0.500 0.500 0.500
# VASP energy	-29.657	eV/cell

---

Record 4
# Th3InNi8 | Alexandria | PBE | relaxed
data_Th3InNi8
_space_group_name_H-M_alt 'R 3 m'
_space_group_IT_number 160
_space_group_name_Hall 'R 3 -2"'
_cell_length_a 5.1349
_cell_length_b 5.1349
_cell_length_c 25.2994
_cell_angle_alpha 90.00
_cell_angle_beta 90.00
_cell_angle_gamma 120.00
loop_
_atom_site_label
_atom_site_type_symbol
_atom_site_fract_x
_atom_site_fract_y
_atom_site_fract_z
Th1 Th 0.0000 0.0000 0.0000
Th2 Th 0.0000 0.0000 0.1277
Th3 Th 0.0000 0.0000 0.6170
In1 In 0.0000 0.0000 0.4939
Ni1 Ni 0.0000 0.0000 0.3109
Ni2 Ni 0.0000 0.0000 0.8115
Ni3 Ni 0.9999 0.5000 0.0606
Ni4 Ni 0.0041 0.5020 0.5608
# energy of formation	-4.53	eV per formula unit

---

Record 5
# BaCa2Sc | Alexandria | PBE | relaxed
data_BaCa2Sc
_space_group_name_H-M_alt 'R -3 m'
_space_group_IT_number 166
_space_group_name_Hall '-R 3 2"'
_cell_length_a 3.8408
_cell_length_b 3.8408
_cell_length_c 37.5422
_cell_angle_alpha 90.00
_cell_angle_beta 90.00
_cell_angle_gamma 120.00
loop_
_atom_site_label
_atom_site_type_symbol
_atom_site_fract_x
_atom_site_fract_y
_atom_site_fract_z
Ba1 Ba 0.0000 0.0000 0.0000
Ca1 Ca 0.0000 0.0000 0.2401
Sc1 Sc 0.0000 0.0000 0.5000
# energy of formation	0.91	eV per formula unit
# energy relative to the lowest polymorph listed for this composition	0.19	eV/f.u.

---

Record 6
# CaCr2Pt | Alexandria | PBE | relaxed
data_CaCr2Pt
_space_group_name_H-M_alt 'C 1 m 1'
_space_group_IT_number 8
_cell_length_a 8.851
_cell_length_b 3.148
_cell_length_c 5.782
_cell_angle_alpha 90.00
_cell_angle_beta 103.15
_cell_angle_gamma 90.00
loop_
_space_group_symop_operation_xyz
'x,y,z'
'x,-y,z'
'x+1/2,y+1/2,z'
'x+1/2,-y+1/2,z'
loop_
_atom_site_label
_atom_site_type_symbol
_atom_site_fract_x
_atom_site_fract_y
_atom_site_fract_z
Ca1 Ca 0.000 0.000 0.000
Cr1 Cr 0.009 0.500 0.490
Cr2 Cr 0.294 0.500 0.388
Pt1 Pt 0.239 0.000 0.718
# energy of formation	0.69	eV per formula unit

---

Record 7
# Ba4Sb3 | Alexandria | PBE | relaxed
data_Ba4Sb3
_space_group_name_H-M_alt 'I 4/m m m'
_space_group_IT_number 139
_space_group_name_Hall '-I 4 2'
_cell_length_a 4.805
_cell_length_b 4.805
_cell_length_c 28.656
_cell_angle_alpha 90.00
_cell_angle_beta 90.00
_cell_angle_gamma 90.00
loop_
_atom_site_label
_atom_site_type_symbol
_atom_site_fract_x
_atom_site_fract_y
_atom_site_fract_z
Ba1 Ba 0.000 0.000 0.062
Ba2 Ba 0.000 0.000 0.306
Sb1 Sb 0.000 0.000 0.179
Sb2 Sb 0.000 0.000 0.500
# formation energy (no corrections)	-0.882	eV per atom
# energy relative to the lowest polymorph listed for this composition	0.97	eV/f.u.

---

Record 8
# HoSc4Ge4 | Alexandria | PBE | relaxed
data_HoSc4Ge4
_space_group_name_H-M_alt 'P 42/n'
_space_group_IT_number 86
_cell_length_a 8.842
_cell_length_b 8.842
_cell_length_c 5.448
_cell_angle_alpha 90.00
_cell_angle_beta 90.00
_cell_angle_gamma 90.00
loop_
_space_group_symop_operation_xyz
'x,y,z'
'-x,-y,-z'
'-y,x+1/2,z+1/2'
'y,-x+1/2,-z+1/2'
'-x+1/2,-y+1/2,z'
'x+1/2,y+1/2,-z'
'y+1/2,-x,z+1/2'
'-y+1/2,x,-z+1/2'
loop_
_atom_site_label
_atom_site_type_symbol
_atom_site_fract_x
_atom_site_fract_y
_atom_site_fract_z
Ho1 Ho 0.250 0.250 0.250
Sc1 Sc 0.100 0.640 0.136
Ge1 Ge 0.046 0.603 0.648
# energy of formation	-5.18	eV per formula unit

---

Record 9
# Sr3Zn2Cd3 | Alexandria | PBE | relaxed
data_Sr3Zn2Cd3
_space_group_name_H-M_alt 'C m c m'
_space_group_IT_number 63
_space_group_name_Hall '-C 2c 2'
_cell_length_a 4.937
_cell_length_b 11.620
_cell_length_c 16.314
_cell_angle_alpha 90.00
_cell_angle_beta 90.00
_cell_angle_gamma 90.00
loop_
_atom_site_label
_atom_site_type_symbol
_atom_site_fract_x
_atom_site_fract_y
_atom_site_fract_z
Sr1 Sr 0.000 0.094 0.105
Sr2 Sr 0.000 0.383 0.250
Zn1 Zn 0.000 0.202 0.598
Cd1 Cd 0.000 0.321 0.750
Cd2 Cd 0.000 0.380 0.040
# energy of formation	-2.28	eV per formula unit

---

Record 10
# La2PrHo | Alexandria | PBE | relaxed
data_La2PrHo
_space_group_name_H-M_alt 'P 4/m m m'
_space_group_IT_number 123
_space_group_name_Hall '-P 4 2'
_cell_length_a 4.269
_cell_length_b 4.269
_cell_length_c 7.777
_cell_angle_alpha 90.00
_cell_angle_beta 90.00
_cell_angle_gamma 90.00
loop_
_atom_site_label
_atom_site_type_symbol
_atom_site_fract_x
_atom_site_fract_y
_atom_site_fract_z
La1 La 0.000 0.000 0.236
Pr1 Pr 0.500 0.500 0.500
Ho1 Ho 0.500 0.500 0.000
# energy of formation	0.36	eV per formula unit
# energy relative to the lowest polymorph listed for this composition	0.31	eV/f.u.

---

Record 11
# Li3Pr2Ni2 | Alexandria | PBE | relaxed
data_Li3Pr2Ni2
_space_group_name_H-M_alt 'C m m m'
_space_group_IT_number 65
_space_group_name_Hall '-C 2 2'
_cell_length_a 3.956
_cell_length_b 21.065
_cell_length_c 3.831
_cell_angle_alpha 90.00
_cell_angle_beta 90.00
_cell_angle_gamma 90.00
loop_
_atom_site_label
_atom_site_type_symbol
_atom_site_fract_x
_atom_site_fract_y
_atom_site_fract_z
Li1 Li 0.000 0.000 0.000
Li2 Li 0.000 0.429 0.500
Pr1 Pr 0.000 0.172 0.000
Ni1 Ni 0.000 0.284 0.500
# energy of formation	-0.95	eV per formula unit

---

Record 12
# K3Sn2S3ClO12 | Alexandria | PBE | relaxed
data_K3Sn2S3ClO12
_space_group_name_H-M_alt 'P 1 21 1'
_space_group_IT_number 4
_cell_length_a 10.279
_cell_length_b 7.717
_cell_length_c 10.388
_cell_angle_alpha 90.00
_cell_angle_beta 118.78
_cell_angle_gamma 90.00
loop_
_space_group_symop_operation_xyz
'x,y,z'
'-x,y+1/2,-z'
loop_
_atom_site_label
_atom_site_type_symbol
_atom_site_fract_x
_atom_site_fract_y
_atom_site_fract_z
K1 K 0.008 0.000 0.248
K2 K 0.318 0.262 0.666
K3 K 0.327 0.776 0.659
Sn1 Sn 0.234 0.465 0.253
Sn2 Sn 0.275 0.976 0.013
S1 S 0.042 0.511 0.402
S2 S 0.393 0.537 0.980
S3 S 0.404 0.030 0.371
Cl1 Cl 0.002 0.293 0.026
O1 O 0.092 0.663 0.346
O2 O 0.103 0.521 0.563
O3 O 0.114 0.353 0.369
O4 O 0.120 0.993 0.675
O5 O 0.283 0.397 0.939
O6 O 0.313 0.710 0.941
O7 O 0.326 0.013 0.457
O8 O 0.349 0.892 0.251
O9 O 0.370 0.203 0.292
O10 O 0.433 0.512 0.538
O11 O 0.469 0.523 0.886
O12 O 0.494 0.032 0.863
# formation energy (no corrections)	-1.625	eV per atom

---

Record 13
# CsSmSnI6 | Alexandria | PBE | relaxed
data_CsSmSnI6
_space_group_name_H-M_alt 'P 3 1 2'
_space_group_IT_number 149
_cell_length_a 8.1999
_cell_length_b 8.1999
_cell_length_c 8.4761
_cell_angle_alpha 90.00
_cell_angle_beta 90.00
_cell_angle_gamma 120.00
loop_
_space_group_symop_operation_xyz
'x,y,z'
'-y,x-y,z'
'-x+y,-x,z'
'-y,-x,-z'
'-x+y,y,-z'
'x,x-y,-z'
loop_
_atom_site_label
_atom_site_type_symbol
_atom_site_fract_x
_atom_site_fract_y
_atom_site_fract_z
Cs1 Cs 0.0000 0.0000 0.0000
Sm1 Sm 0.6667 0.3333 0.5000
Sn1 Sn 0.3333 0.6667 0.5000
I1 I 0.3807 0.0090 0.7147
# formation energy (no corrections)	-1.159	eV per atom

---

Record 14
# SmYPuN3 | Alexandria | PBE | relaxed
data_SmYPuN3
_space_group_name_H-M_alt 'P 1 21/m 1'
_space_group_IT_number 11
_cell_length_a 7.111
_cell_length_b 3.626
_cell_length_c 8.438
_cell_angle_alpha 90.00
_cell_angle_beta 97.54
_cell_angle_gamma 90.00
loop_
_space_group_symop_operation_xyz
'x,y,z'
'-x,-y,-z'
'-x,y+1/2,-z'
'x,-y+1/2,z'
loop_
_atom_site_label
_atom_site_type_symbol
_atom_site_fract_x
_atom_site_fract_y
_atom_site_fract_z
Sm1 Sm 0.162 0.250 0.137
Y1 Y 0.370 0.750 0.847
Pu1 Pu 0.056 0.250 0.581
N1 N 0.100 0.250 0.848
N2 N 0.226 0.750 0.578
N3 N 0.393 0.750 0.125
# formation energy (no corrections)	-1.006	eV per atom

---

Record 15
# SmPuNp2S4 | Alexandria | PBE | relaxed
data_SmPuNp2S4
_space_group_name_H-M_alt 'P 1 2/m 1'
_space_group_IT_number 10
_cell_length_a 6.821
_cell_length_b 3.944
_cell_length_c 6.843
_cell_angle_alpha 90.00
_cell_angle_beta 109.40
_cell_angle_gamma 90.00
loop_
_space_group_symop_operation_xyz
'x,y,z'
'-x,-y,-z'
'-x,y,-z'
'x,-y,z'
loop_
_atom_site_label
_atom_site_type_symbol
_atom_site_fract_x
_atom_site_fract_y
_atom_site_fract_z
Sm1 Sm 0.000 0.000 0.000
Pu1 Pu 0.000 0.500 0.500
Np1 Np 0.500 0.000 0.500
Np2 Np 0.500 0.500 0.000
S1 S 0.256 0.000 0.748
S2 S 0.258 0.500 0.256
# formation energy (no corrections)	-1.638	eV per atom

---

Record 16
# Ba3Hg9Bi2 | Alexandria | PBE | relaxed
data_Ba3Hg9Bi2
_space_group_name_H-M_alt 'I m m m'
_space_group_IT_number 71
_space_group_name_Hall '-I 2 2'
_cell_length_a 5.063
_cell_length_b 11.260
_cell_length_c 15.567
_cell_angle_alpha 90.00
_cell_angle_beta 90.00
_cell_angle_gamma 90.00
loop_
_atom_site_label
_atom_site_type_symbol
_atom_site_fract_x
_atom_site_fract_y
_atom_site_fract_z
Ba1 Ba 0.000 0.000 0.000
Ba2 Ba 0.000 0.000 0.325
Hg1 Hg 0.000 0.276 0.133
Hg2 Hg 0.000 0.369 0.317
Hg3 Hg 0.000 0.500 0.000
Bi1 Bi 0.000 0.242 0.500
# energy of formation	-5.55	eV per formula unit

---

Record 17
# LaTaGa2 | Alexandria | PBE | relaxed
data_LaTaGa2
_space_group_name_H-M_alt 'R -3 m'
_space_group_IT_number 166
_space_group_name_Hall '-R 3 2"'
_cell_length_a 3.0456
_cell_length_b 3.0456
_cell_length_c 32.5272
_cell_angle_alpha 90.00
_cell_angle_beta 90.00
_cell_angle_gamma 120.00
loop_
_atom_site_label
_atom_site_type_symbol
_atom_site_fract_x
_atom_site_fract_y
_atom_site_fract_z
La1 La 0.0000 0.0000 0.0000
Ta1 Ta 0.0000 0.0000 0.5000
Ga1 Ga 0.0000 0.0000 0.0971
# energy of formation	0.96	eV per formula unit
# energy relative to the lowest polymorph listed for this composition	1.03	eV/f.u.

---

Record 18
# Cs2Tl2Hg | Alexandria | PBE | relaxed
data_Cs2Tl2Hg
_space_group_name_H-M_alt 'P 4/m b m'
_space_group_IT_number 127
_space_group_name_Hall '-P 4 2ab'
_cell_length_a 11.455
_cell_length_b 11.455
_cell_length_c 4.084
_cell_angle_alpha 90.00
_cell_angle_beta 90.00
_cell_angle_gamma 90.00
loop_
_atom_site_label
_atom_site_type_symbol
_atom_site_fract_x
_atom_site_fract_y
_atom_site_fract_z
Cs1 Cs 0.201 0.299 0.000
Tl1 Tl 0.091 0.591 0.500
Hg1 Hg 0.000 0.000 0.000
# energy of formation	0.23	eV per formula unit
# energy relative to the lowest polymorph listed for this composition	0.83	eV/f.u.

---

Record 19
# Ba2NaPrO4 | Alexandria | PBE | relaxed
data_Ba2NaPrO4
_space_group_name_H-M_alt 'P 1 2/m 1'
_space_group_IT_number 10
_cell_length_a 6.424
_cell_length_b 3.800
_cell_length_c 6.517
_cell_angle_alpha 90.00
_cell_angle_beta 108.25
_cell_angle_gamma 90.00
loop_
_space_group_symop_operation_xyz
'x,y,z'
'-x,-y,-z'
'-x,y,-z'
'x,-y,z'
loop_
_atom_site_label
_atom_site_type_symbol
_atom_site_fract_x
_atom_site_fract_y
_atom_site_fract_z
Ba1 Ba 0.000 0.000 0.000
Ba2 Ba 0.500 0.500 0.000
Na1 Na 0.000 0.500 0.500
Pr1 Pr 0.500 0.000 0.500
O1 O 0.272 0.000 0.736
O2 O 0.273 0.500 0.281
# formation energy (no corrections)	-2.433	eV per atom

---

Record 20
# NbBi2W | Alexandria | PBE | relaxed
data_NbBi2W
_space_group_name_H-M_alt 'F m -3 m'
_space_group_IT_number 225
_space_group_name_Hall '-F 4 2 3'
_cell_length_a 6.957
_cell_length_b 6.957
_cell_length_c 6.957
_cell_angle_alpha 90.00
_cell_angle_beta 90.00
_cell_angle_gamma 90.00
loop_
_atom_site_label
_atom_site_type_symbol
_atom_site_fract_x
_atom_site_fract_y
_atom_site_fract_z
Nb1 Nb 0.000 0.000 0.000
Bi1 Bi 0.250 0.250 0.250
W1 W 0.000 0.000 0.500
# energy of formation	3.06	eV per formula unit

---

Record 21
# ScCdFe2 | Alexandria | PBE | relaxed
data_ScCdFe2
_space_group_name_H-M_alt 'P 4/m m m'
_space_group_IT_number 123
_space_group_name_Hall '-P 4 2'
_cell_length_a 4.119
_cell_length_b 4.119
_cell_length_c 3.702
_cell_angle_alpha 90.00
_cell_angle_beta 90.00
_cell_angle_gamma 90.00
loop_
_atom_site_label
_atom_site_type_symbol
_atom_site_fract_x
_atom_site_fract_y
_atom_site_fract_z
Sc1 Sc 0.000 0.000 0.000
Cd1 Cd 0.500 0.500 0.000
Fe1 Fe 0.000 0.500 0.500
# energy of formation	0.64	eV per formula unit

---

Record 22
# CaYSb2I | Alexandria | PBE | relaxed
data_CaYSb2I
_space_group_name_H-M_alt 'P 4/m m m'
_space_group_IT_number 123
_space_group_name_Hall '-P 4 2'
_cell_length_a 5.784
_cell_length_b 5.784
_cell_length_c 5.980
_cell_angle_alpha 90.00
_cell_angle_beta 90.00
_cell_angle_gamma 90.00
loop_
_atom_site_label
_atom_site_type_symbol
_atom_site_fract_x
_atom_site_fract_y
_atom_site_fract_z
Ca1 Ca 0.000 0.000 0.000
Y1 Y 0.500 0.500 0.500
Sb1 Sb 0.000 0.500 0.500
I1 I 0.500 0.500 0.000
# formation energy (no corrections)	-0.399	eV per atom
# energy relative to the lowest polymorph listed for this composition	0.00	eV/f.u.

---

Record 23
# In3IrAu | Alexandria | PBE | relaxed
data_In3IrAu
_space_group_name_H-M_alt 'P m -3 m'
_space_group_IT_number 221
_space_group_name_Hall '-P 4 2 3'
_cell_length_a 5.152
_cell_length_b 5.152
_cell_length_c 5.152
_cell_angle_alpha 90.00
_cell_angle_beta 90.00
_cell_angle_gamma 90.00
loop_
_atom_site_label
_atom_site_type_symbol
_atom_site_fract_x
_atom_site_fract_y
_atom_site_fract_z
In1 In 0.000 0.000 0.500
Ir1 Ir 0.000 0.000 0.000
Au1 Au 0.500 0.500 0.500
# energy of formation	0.08	eV per formula unit
# energy relative to the lowest polymorph listed for this composition	0.60	eV/f.u.